No. 1
Material: Tb2Tm4Sc3
Method: DFT, PBE-GGA
State: relaxed

Cell: 16.2467 9.4235 6.6544 Å, 90.00 90.07 90.00°
With the nearest neighbours (Å) after each atom.
Space group C2/c (No. 15)
Asymmetric unit:
Tb  0.1780  0.1350  0.4990 (multiplicity 8)  4 Tm 3.17-3.40, 1 Tb 3.19, 2 Sc 3.30
Tm  0.0209  0.3346  0.5003 (multiplicity 8)  4 Tm 3.15-3.40, 1 Tb 3.17, 2 Sc 3.27
Tm  0.1564  0.1998  0.9986 (multiplicity 8)  2 Tm 3.15-3.19, 3 Tb 3.17-3.40, 2 Sc 3.28-3.29
Sc  0.0000  0.0004  0.2500 (multiplicity 4)  2 Sc 3.33, 4 Tb 3.56-3.58, 8 Tm 3.57-3.58
Sc  0.1650  0.4992  0.2499 (multiplicity 8)  4 Tm 3.27-3.29, 2 Tb 3.30, 2 Sc 3.33

## Properties
DFT formation energy, meV/atom: 67
Density of states at the Fermi level, states/eV/cell: 41.144
Offset from the most stable computed form, meV/atom: 0.0

No. 2
Material: BTeSeN2
Method: DFT, PBE-GGA
State: relaxed

Cell: 3.5427 3.5427 6.9477 Å, 90.00 90.00 90.00°
With the nearest neighbours (Å) after each atom.
Space group P4/mmm (No. 123)
Asymmetric unit:
B  0.0000  0.0000  0.0000 (multiplicity 1)  4 N 1.77
Te  0.0000  0.0000  0.5000 (multiplicity 1)  4 Se 2.51
Se  0.5000  0.5000  0.5000 (multiplicity 1)  4 Te 2.51
N  0.0000  0.5000  0.0000 (multiplicity 2)  2 B 1.77

## Properties
Density of states at the Fermi level, states/eV/cell: 2.796
Offset from the most stable computed form, meV/atom: 31.8
Raw formation energy, eV/atom: 1.68